1.
VASP calculation (PBE) on Cs3BiAu2I9 after structural relaxation.

* formation energy without anion corrections: -0.742 eV/atom

Cell: 8.4833 8.4833 10.4349 Å, 90.00 90.00 120.00°
Space group P-3m1 (No. 164)
Unique sites:
Cs  0.0000  0.0000  0.0000 (multiplicity 1)
Cs  0.3333  0.6667  0.6756 (multiplicity 2)
Bi  0.0000  0.0000  0.5000 (multiplicity 1)
Au  0.3333  0.6667  0.1496 (multiplicity 2)
I  0.0000  0.5000  0.0000 (multiplicity 3)
I  0.1715  0.3430  0.3271 (multiplicity 6)

---

2.
VASP calculation (PBE) on CsBiAuI6 after structural relaxation.

* formation energy without anion corrections: -0.524 eV/atom

Cell: 9.134 12.388 8.204 Å, 90.00 104.03 90.00°
Space group C2 (No. 5)
Unique sites:
Cs  0.000  0.000  0.000 (multiplicity 2)
Bi  0.000  0.597  0.500 (multiplicity 2)
Au  0.000  0.237  0.500 (multiplicity 2)
I  0.105  0.391  0.744 (multiplicity 4)
I  0.168  0.738  0.778 (multiplicity 4)
I  0.209  0.082  0.643 (multiplicity 4)

---

3.
VASP calculation (PBE) on CsInBi2Au after structural relaxation.

Cell: 6.443 6.443 5.998 Å, 90.00 90.00 90.00°
Space group P4/mmm (No. 123)
Unique sites:
Cs  0.000  0.000  0.000 (multiplicity 1)
In  0.500  0.500  0.500 (multiplicity 1)
Bi  0.000  0.500  0.000 (multiplicity 2)
Au  0.000  0.000  0.500 (multiplicity 1)

---

4.
VASP calculation (PBE) on Cs2In2Bi2Au after structural relaxation.

Cell: 15.552 4.929 9.539 Å, 90.00 127.13 90.00°
Space group C2/m (No. 12)
Unique sites:
Cs  0.064  0.000  0.316 (multiplicity 4)
In  0.200  0.500  0.078 (multiplicity 4)
Bi  0.167  0.500  0.725 (multiplicity 4)
Au  0.000  0.500  0.000 (multiplicity 2)

---

5.
VASP calculation (PBE) on Cs3In4Bi2Au2 after structural relaxation.

Cell: 4.8753 4.8753 21.6456 Å, 90.00 90.00 120.00°
Space group P-3m1 (No. 164)
Unique sites:
Cs  0.0000  0.0000  0.0000 (multiplicity 1)
Cs  0.0000  0.0000  0.3041 (multiplicity 2)
In  0.3333  0.6667  0.4444 (multiplicity 2)
In  0.3333  0.6667  0.8758 (multiplicity 2)
Bi  0.3333  0.6667  0.1713 (multiplicity 2)
Au  0.3333  0.6667  0.5747 (multiplicity 2)

---

6.
VASP calculation (PBE) on Cs2KBi2Au after structural relaxation.

Cell: 8.883 16.217 7.963 Å, 90.00 90.00 90.00°
Space group Ibam (No. 72)
Unique sites:
Cs  0.210  0.173  0.000 (multiplicity 8)
K  0.000  0.500  0.250 (multiplicity 4)
Bi  0.186  0.077  0.500 (multiplicity 8)
Au  0.000  0.000  0.250 (multiplicity 4)

---

7.
VASP calculation (PBE) on CsK2BiAu after structural relaxation.

Cell: 6.479 6.479 5.617 Å, 90.00 90.00 90.00°
Space group P4/mmm (No. 123)
Unique sites:
Cs  0.000  0.000  0.000 (multiplicity 1)
K  0.000  0.500  0.500 (multiplicity 2)
Bi  0.500  0.500  0.000 (multiplicity 1)
Au  0.500  0.500  0.500 (multiplicity 1)

---

8.
VASP calculation (PBE) on CsNa2BiAu after structural relaxation.

Cell: 5.847 5.847 5.634 Å, 90.00 90.00 90.00°
Space group P4/mmm (No. 123)
Unique sites:
Cs  0.000  0.000  0.000 (multiplicity 1)
Na  0.000  0.500  0.500 (multiplicity 2)
Bi  0.500  0.500  0.000 (multiplicity 1)
Au  0.500  0.500  0.500 (multiplicity 1)

---

9.
VASP calculation (PBE) on Cs2NaBi2Au after structural relaxation.

Cell: 7.696 17.057 7.691 Å, 90.00 90.00 90.00°
Space group Ibam (No. 72)
Unique sites:
Cs  0.242  0.166  0.000 (multiplicity 8)
Na  0.000  0.000  0.250 (multiplicity 4)
Bi  0.207  0.416  0.000 (multiplicity 8)
Au  0.000  0.500  0.250 (multiplicity 4)

---

10.
VASP calculation (PBE) on CsNaBiAu after structural relaxation.

Cell: 5.201 5.546 11.722 Å, 90.00 90.00 90.00°
Space group Amm2 (No. 38)
Unique sites:
Cs  0.000  0.000  0.000 (multiplicity 2)
Na  0.500  0.000  0.729 (multiplicity 2)
Bi  0.500  0.000  0.373 (multiplicity 2)
Au  0.000  0.000  0.291 (multiplicity 2)

---

11.
VASP calculation (PBE) on CsNiBiAu2 after structural relaxation.

Cell: 5.128 5.128 5.123 Å, 90.00 90.00 90.00°
Space group P4/mmm (No. 123)
Unique sites:
Cs  0.000  0.000  0.000 (multiplicity 1)
Ni  0.000  0.000  0.500 (multiplicity 1)
Bi  0.500  0.500  0.000 (multiplicity 1)
Au  0.000  0.500  0.500 (multiplicity 2)

---

12.
VASP calculation (PBE) on CsBi2Au2O6 after structural relaxation.

* formation energy without anion corrections: -0.703 eV/atom

Cell: 6.373 6.376 7.214 Å, 102.25 103.42 118.58°
Space group P-1 (No. 2)
Unique sites:
Cs  0.000  0.000  0.000 (multiplicity 1)
Bi  0.344  0.657  0.001 (multiplicity 2)
Au  0.229  0.771  0.500 (multiplicity 2)
O  0.088  0.641  0.192 (multiplicity 2)
O  0.357  0.913  0.808 (multiplicity 2)
O  0.484  0.488  0.807 (multiplicity 2)

---

13.
VASP calculation (PBE) on Cs6BiAuO after structural relaxation.

* formation energy without anion corrections: -0.506 eV/atom

Cell: 8.6855 8.6855 15.9654 Å, 90.00 90.00 120.00°
Space group P-31c (No. 163)
Unique sites:
Cs  0.0504  0.3951  0.1408 (multiplicity 12)
Bi  0.0000  0.0000  0.0000 (multiplicity 2)
Au  0.3333  0.6667  0.7500 (multiplicity 2)
O  0.3333  0.6667  0.2500 (multiplicity 2)

---

14.
VASP calculation (PBE) on CsBi2Pb2Au2 after structural relaxation.

Cell: 4.8471 4.8471 36.2440 Å, 90.00 90.00 120.00°
Space group R-3m (No. 166, hexagonal axes)
Unique sites:
Cs  0.0000  0.0000  0.0000 (multiplicity 3)
Bi  0.0000  0.0000  0.2553 (multiplicity 6)
Pb  0.0000  0.0000  0.1333 (multiplicity 6)
Au  0.0000  0.0000  0.4297 (multiplicity 6)

---

15.
VASP calculation (PBE) on Cs2BiPb4Au3 after structural relaxation.

Cell: 5.242 5.242 12.172 Å, 90.00 90.00 90.00°
Space group P-4m2 (No. 115)
Unique sites:
Cs  0.000  0.500  0.248 (multiplicity 2)
Bi  0.500  0.500  0.000 (multiplicity 1)
Pb  0.000  0.000  0.500 (multiplicity 1)
Pb  0.000  0.500  0.860 (multiplicity 2)
Pb  0.500  0.500  0.500 (multiplicity 1)
Au  0.000  0.000  0.000 (multiplicity 1)
Au  0.000  0.500  0.616 (multiplicity 2)

---

16.
VASP calculation (PBE) on Cs2RbBiAu after structural relaxation.

* energy above the most stable polymorph in this dataset: 51 meV/atom

Cell: 6.731 6.731 6.487 Å, 90.00 90.00 90.00°
Space group P4mm (No. 99)
Unique sites:
Cs  0.000  0.500  0.000 (multiplicity 2)
Rb  0.000  0.000  0.501 (multiplicity 1)
Bi  0.500  0.500  0.500 (multiplicity 1)
Au  0.000  0.000  0.001 (multiplicity 1)

---

17.
VASP calculation (PBE) on Cs2RbBiAu after structural relaxation.

* energy above the most stable polymorph in this dataset: 0 meV/atom

Cell: 7.051 7.051 5.596 Å, 90.00 90.00 90.00°
Space group P4/mmm (No. 123)
Unique sites:
Cs  0.000  0.500  0.000 (multiplicity 2)
Rb  0.000  0.000  0.500 (multiplicity 1)
Bi  0.500  0.500  0.500 (multiplicity 1)
Au  0.500  0.500  0.000 (multiplicity 1)

---

18.
VASP calculation (PBE) on Cs3Rb2Bi2Au4 after structural relaxation.

Cell: 5.665 5.665 31.697 Å, 90.00 90.00 90.00°
Space group I4/mmm (No. 139)
Unique sites:
Cs  0.000  0.000  0.000 (multiplicity 2)
Cs  0.000  0.000  0.151 (multiplicity 4)
Rb  0.000  0.000  0.308 (multiplicity 4)
Bi  0.000  0.000  0.429 (multiplicity 4)
Au  0.000  0.500  0.090 (multiplicity 8)

---

19.
VASP calculation (PBE) on CsBiAuS2 after structural relaxation.

* formation energy without anion corrections: -0.452 eV/atom

Cell: 8.332 16.120 5.125 Å, 90.00 90.00 90.00°
Space group Cmme (No. 67)
Unique sites:
Cs  0.000  0.250  0.201 (multiplicity 4)
Bi  0.250  0.000  0.500 (multiplicity 4)
Au  0.000  0.000  0.000 (multiplicity 4)
S  0.000  0.108  0.689 (multiplicity 8)

---

20.
VASP calculation (PBE) on Cs8BiAu2S after structural relaxation.

* formation energy without anion corrections: -0.459 eV/atom

Cell: 6.231 12.259 8.834 Å, 90.00 90.01 90.00°
Space group P2/m (No. 10)
Unique sites:
Cs  0.000  0.000  0.245 (multiplicity 2)
Cs  0.001  0.500  0.725 (multiplicity 2)
Cs  0.499  0.265  0.260 (multiplicity 4)
Bi  0.500  0.000  0.500 (multiplicity 1)
Au  0.000  0.270  0.000 (multiplicity 2)
S  0.500  0.500  0.500 (multiplicity 1)

---

no.,energy (eV per atom)
1,-2.539
2,-2.448
3,-1.783
4,-2.905
5,-2.736
6,-2.570
7,-2.263
8,-2.335
9,-2.624
10,-2.647
11,-2.811
12,-4.787
13,-2.422
14,-3.380
15,-3.178
16,-2.102
17,-2.153
18,-2.494
19,-3.705
20,-2.241